one.
Material: PmMoAu
Method: DFT, PBE
State: optimized geometry Values from VASP.

Summary:
Total moment = 2.813 Bohr magnetons per cell
Calculated volume = 74 Å³/cell

```
&SYSTEM
  ibrav = 0, nat = 3, ntyp = 3
/
ATOMIC_SPECIES
Pm 145.00 Pm.upf
Mo 95.94 Mo.upf
Au 196.97 Au.upf
ATOMIC_POSITIONS angstrom
Pm 0.000 0.000 0.000
Mo 5.002 5.002 5.002
Au 3.335 3.335 3.335
CELL_PARAMETERS angstrom
0.000 3.335 3.335
3.335 0.000 3.335
3.335 3.335 0.000
```

two.
Material: PmMoAu
Method: DFT, PBE
State: optimized geometry Values from VASP.

Summary:
Total moment = 3.033 Bohr magnetons per cell
Calculated volume = 77 Å³/cell

```
&SYSTEM
  ibrav = 0, nat = 3, ntyp = 3
/
ATOMIC_SPECIES
Pm 145.00 Pm.upf
Mo 95.94 Mo.upf
Au 196.97 Au.upf
ATOMIC_POSITIONS angstrom
Pm 0.000 0.000 0.000
Mo 1.691 1.691 1.691
Au 5.072 5.072 5.072
CELL_PARAMETERS angstrom
0.000 3.381 3.381
3.381 0.000 3.381
3.381 3.381 0.000
```

What should be chosen as the most stable of them? Choose one.

one.
Material: PuMoAu
Method: DFT, PBE
State: optimized geometry Values from VASP.

Summary:
Total moment = 3.048 Bohr magnetons per cell
Calculated volume = 67 Å³/cell

```
&SYSTEM
  ibrav = 0, nat = 3, ntyp = 3
/
ATOMIC_SPECIES
Pu 244.00 Pu.upf
Mo 95.94 Mo.upf
Au 196.97 Au.upf
ATOMIC_POSITIONS angstrom
Pu 0.000 0.000 0.000
Mo 1.615 1.615 1.615
Au 4.845 4.845 4.845
CELL_PARAMETERS angstrom
0.000 3.230 3.230
3.230 0.000 3.230
3.230 3.230 0.000
```

two.
Material: PuMoAu
Method: DFT, PBE
State: optimized geometry Values from VASP.

Summary:
Total moment = 0.099 Bohr magnetons per cell
Calculated volume = 66 Å³/cell

```
&SYSTEM
  ibrav = 0, nat = 3, ntyp = 3
/
ATOMIC_SPECIES
Pu 244.00 Pu.upf
Mo 95.94 Mo.upf
Au 196.97 Au.upf
ATOMIC_POSITIONS angstrom
Pu 0.000 0.000 0.000
Mo 4.817 4.817 4.817
Au 3.211 3.211 3.211
CELL_PARAMETERS angstrom
0.000 3.211 3.211
3.211 0.000 3.211
3.211 3.211 0.000
```

What should be chosen as the most stable of them? Choose one.

one.
Material: NdAuNO
Method: DFT, PBE
State: optimized geometry Values from VASP.

Summary:
Total moment = 0.001 Bohr magnetons per cell
Calculated volume = 121 Å³/cell

```
&SYSTEM
  ibrav = 0, nat = 8, ntyp = 4
/
ATOMIC_SPECIES
Nd 144.24 Nd.upf
Au 196.97 Au.upf
N 14.01 N.upf
O 16.00 O.upf
ATOMIC_POSITIONS angstrom
Nd 1.281 3.842 0.000
Nd 3.842 1.281 0.000
Au 1.281 1.281 2.291
Au 3.842 3.842 2.320
N 1.281 1.281 4.595
N 3.842 3.842 0.015
O 1.281 3.842 2.305
O 3.842 1.281 2.305
CELL_PARAMETERS angstrom
5.123 0.000 0.000
0.000 5.123 0.000
0.000 0.000 4.610
```

two.
Material: NdAuNO
Method: DFT, PBE
State: optimized geometry Values from VASP.

Summary:
Total moment = 0.002 Bohr magnetons per cell
Calculated volume = 132 Å³/cell

```
&SYSTEM
  ibrav = 0, nat = 8, ntyp = 4
/
ATOMIC_SPECIES
Nd 144.24 Nd.upf
Au 196.97 Au.upf
N 14.01 N.upf
O 16.00 O.upf
ATOMIC_POSITIONS angstrom
Nd 0.000 1.386 0.000
Nd 0.000 4.788 2.705
Au 1.975 1.462 2.602
Au 1.975 4.712 5.307
N 0.000 0.979 2.584
N 0.000 5.195 5.288
O 1.975 2.375 4.915
O 1.975 3.799 2.210
CELL_PARAMETERS angstrom
3.949 0.000 0.000
0.000 6.174 0.000
0.000 0.000 5.410
```

three.
Material: NdAuNO
Method: DFT, PBE
State: optimized geometry Values from VASP.

Summary:
Total moment = 0.015 Bohr magnetons per cell
Calculated volume = 249 Å³/cell

```
&SYSTEM
  ibrav = 0, nat = 16, ntyp = 4
/
ATOMIC_SPECIES
Nd 144.24 Nd.upf
Au 196.97 Au.upf
N 14.01 N.upf
O 16.00 O.upf
ATOMIC_POSITIONS angstrom
Nd 0.205 1.086 0.000
Nd 2.719 1.086 2.976
Nd 3.130 6.058 0.000
Nd 5.643 6.058 2.976
Au 0.212 4.114 0.060
Au 2.712 4.114 3.036
Au 3.136 3.030 0.060
Au 5.636 3.030 3.036
N 1.430 2.941 1.549
N 1.494 2.941 4.526
N 4.354 4.202 1.549
N 4.418 4.202 4.526
O 1.460 6.940 1.487
O 1.464 6.940 4.464
O 4.385 0.204 1.487
O 4.388 0.204 4.464
CELL_PARAMETERS angstrom
5.848 0.000 0.000
0.000 7.144 0.000
0.000 0.000 5.952
```

What should be chosen as the most stable of them? Choose three.

one.
Material: PbAuNO
Method: DFT, PBE
State: optimized geometry Values from VASP.

Summary:
Calculated volume = 156 Å³/cell

```
&SYSTEM
  ibrav = 0, nat = 8, ntyp = 4
/
ATOMIC_SPECIES
Pb 207.20 Pb.upf
Au 196.97 Au.upf
N 14.01 N.upf
O 16.00 O.upf
ATOMIC_POSITIONS angstrom
Pb 0.000 1.154 0.000
Pb 0.000 6.506 2.737
Au 1.865 3.748 3.623
Au 1.865 3.912 0.886
N 1.865 2.310 5.066
N 1.865 5.349 2.328
O 0.000 0.857 2.121
O 0.000 6.802 4.859
CELL_PARAMETERS angstrom
3.729 0.000 0.000
0.000 7.659 0.000
0.000 0.000 5.475
```

two.
Material: PbAuNO
Method: DFT, PBE
State: optimized geometry Values from VASP.

Summary:
Calculated volume = 276 Å³/cell

```
&SYSTEM
  ibrav = 0, nat = 16, ntyp = 4
/
ATOMIC_SPECIES
Pb 207.20 Pb.upf
Au 196.97 Au.upf
N 14.01 N.upf
O 16.00 O.upf
ATOMIC_POSITIONS angstrom
Pb 0.497 1.112 0.000
Pb 2.624 1.112 3.007
Pb 3.618 6.231 0.000
Pb 5.745 6.231 3.007
Au 0.977 5.059 0.290
Au 2.144 5.059 3.296
Au 4.098 2.284 0.290
Au 5.265 2.284 3.296
N 0.487 0.901 3.728
N 2.634 0.901 0.722
N 3.608 6.442 3.728
N 5.756 6.442 0.722
O 0.247 4.203 3.116
O 2.874 4.203 0.109
O 3.368 3.140 3.116
O 5.995 3.140 0.109
CELL_PARAMETERS angstrom
6.242 0.000 0.000
0.000 7.342 0.000
0.000 0.000 6.013
```

What should be chosen as the most stable of them? Choose one.

one.
Material: PbAuNO
Method: DFT, PBE
State: optimized geometry Values from VASP.

Summary:
Calculated volume = 148 Å³/cell

```
&SYSTEM
  ibrav = 0, nat = 8, ntyp = 4
/
ATOMIC_SPECIES
Pb 207.20 Pb.upf
Au 196.97 Au.upf
N 14.01 N.upf
O 16.00 O.upf
ATOMIC_POSITIONS angstrom
Pb 1.044 1.044 1.126
Pb 3.131 3.131 7.336
Au 1.044 3.131 4.231
Au 3.131 1.044 4.231
N 1.044 1.044 4.759
N 3.131 3.131 3.704
O 1.044 3.131 0.000
O 3.131 1.044 0.000
CELL_PARAMETERS angstrom
4.175 0.000 0.000
0.000 4.175 0.000
0.000 0.000 8.462
```

two.
Material: PbAuNO
Method: DFT, PBE
State: optimized geometry Values from VASP.

Summary:
Calculated volume = 116 Å³/cell

```
&SYSTEM
  ibrav = 0, nat = 8, ntyp = 4
/
ATOMIC_SPECIES
Pb 207.20 Pb.upf
Au 196.97 Au.upf
N 14.01 N.upf
O 16.00 O.upf
ATOMIC_POSITIONS angstrom
Pb 1.231 3.692 0.000
Pb 3.692 1.231 0.000
Au 1.231 1.231 2.387
Au 3.692 3.692 2.384
N 1.231 1.231 0.010
N 3.692 3.692 4.761
O 1.231 3.692 2.386
O 3.692 1.231 2.386
CELL_PARAMETERS angstrom
4.923 0.000 0.000
0.000 4.923 0.000
0.000 0.000 4.771
```

three.
Material: PbAuNO
Method: DFT, PBE
State: optimized geometry Values from VASP.

Summary:
Calculated volume = 141 Å³/cell

```
&SYSTEM
  ibrav = 0, nat = 8, ntyp = 4
/
ATOMIC_SPECIES
Pb 207.20 Pb.upf
Au 196.97 Au.upf
N 14.01 N.upf
O 16.00 O.upf
ATOMIC_POSITIONS angstrom
Pb 0.000 1.211 0.000
Pb 0.000 4.789 2.991
Au 1.964 1.541 2.667
Au 1.964 4.459 5.658
N 0.000 1.127 2.379
N 0.000 4.873 5.370
O 1.964 2.253 5.597
O 1.964 3.747 2.606
CELL_PARAMETERS angstrom
3.928 0.000 0.000
0.000 6.000 0.000
0.000 0.000 5.981
```

What should be chosen as the most stable of them? Choose one.

one.
Material: PdAuNO
Method: DFT, PBE
State: optimized geometry Values from VASP.

Summary:
Calculated volume = 106 Å³/cell

```
&SYSTEM
  ibrav = 0, nat = 8, ntyp = 4
/
ATOMIC_SPECIES
Pd 106.42 Pd.upf
Au 196.97 Au.upf
N 14.01 N.upf
O 16.00 O.upf
ATOMIC_POSITIONS angstrom
Pd 0.999 2.997 0.000
Pd 2.997 0.999 0.000
Au 0.999 0.999 2.499
Au 2.997 2.997 4.140
N 0.999 0.999 5.943
N 2.997 2.997 0.697
O 0.999 2.997 3.320
O 2.997 0.999 3.320
CELL_PARAMETERS angstrom
3.996 0.000 0.000
0.000 3.996 0.000
0.000 0.000 6.640
```

two.
Material: PdAuNO
Method: DFT, PBE
State: optimized geometry Values from VASP.

Summary:
Calculated volume = 223 Å³/cell

```
&SYSTEM
  ibrav = 0, nat = 16, ntyp = 4
/
ATOMIC_SPECIES
Pd 106.42 Pd.upf
Au 196.97 Au.upf
N 14.01 N.upf
O 16.00 O.upf
ATOMIC_POSITIONS angstrom
Pd 0.424 0.856 0.000
Pd 2.394 0.856 2.857
Pd 3.242 6.079 0.000
Pd 5.212 6.079 2.857
Au 0.908 4.777 5.601
Au 1.910 4.777 2.744
Au 3.726 2.157 5.601
Au 4.728 2.157 2.744
N 0.459 0.814 2.168
N 2.359 0.814 5.025
N 3.277 6.120 2.168
N 5.177 6.120 5.025
O 0.015 2.888 0.160
O 2.803 2.888 3.017
O 2.833 4.046 0.160
O 5.621 4.046 3.017
CELL_PARAMETERS angstrom
5.636 0.000 0.000
0.000 6.934 0.000
0.000 0.000 5.715
```

What should be chosen as the most stable of them? Choose two.

one.
Material: PdAuNO
Method: DFT, PBE
State: optimized geometry Values from VASP.

Summary:
Calculated volume = 109 Å³/cell

```
&SYSTEM
  ibrav = 0, nat = 8, ntyp = 4
/
ATOMIC_SPECIES
Pd 106.42 Pd.upf
Au 196.97 Au.upf
N 14.01 N.upf
O 16.00 O.upf
ATOMIC_POSITIONS angstrom
Pd 0.000 0.469 0.000
Pd 0.000 5.273 2.991
Au 1.593 1.815 2.884
Au 1.593 3.926 5.875
N 0.000 1.141 4.153
N 0.000 4.600 1.162
O 1.593 1.866 0.687
O 1.593 3.876 3.678
CELL_PARAMETERS angstrom
3.186 0.000 0.000
0.000 5.742 0.000
0.000 0.000 5.982
```

two.
Material: PdAuNO
Method: DFT, PBE
State: optimized geometry Values from VASP.

Summary:
Calculated volume = 109 Å³/cell

```
&SYSTEM
  ibrav = 0, nat = 8, ntyp = 4
/
ATOMIC_SPECIES
Pd 106.42 Pd.upf
Au 196.97 Au.upf
N 14.01 N.upf
O 16.00 O.upf
ATOMIC_POSITIONS angstrom
Pd 1.067 1.067 0.355
Pd 3.200 3.200 5.608
Au 1.067 3.200 2.982
Au 3.200 1.067 2.982
N 1.067 1.067 2.504
N 3.200 3.200 3.459
O 1.067 3.200 0.000
O 3.200 1.067 0.000
CELL_PARAMETERS angstrom
4.266 0.000 0.000
0.000 4.266 0.000
0.000 0.000 5.963
```

three.
Material: PdAuNO
Method: DFT, PBE
State: optimized geometry Values from VASP.

Summary:
Calculated volume = 109 Å³/cell

```
&SYSTEM
  ibrav = 0, nat = 8, ntyp = 4
/
ATOMIC_SPECIES
Pd 106.42 Pd.upf
Au 196.97 Au.upf
N 14.01 N.upf
O 16.00 O.upf
ATOMIC_POSITIONS angstrom
Pd 0.000 0.983 0.000
Pd 0.000 4.901 3.018
Au 1.529 2.513 3.049
Au 1.529 3.370 0.031
N 1.529 1.672 4.910
N 1.529 4.212 1.891
O 0.000 0.849 2.121
O 0.000 5.035 5.139
CELL_PARAMETERS angstrom
3.057 0.000 0.000
0.000 5.884 0.000
0.000 0.000 6.037
```

What should be chosen as the most stable of them? Choose three.

one.
Material: SbAuNO
Method: DFT, PBE
State: optimized geometry Values from VASP.

Summary:
Calculated volume = 111 Å³/cell

```
&SYSTEM
  ibrav = 0, nat = 8, ntyp = 4
/
ATOMIC_SPECIES
Sb 121.76 Sb.upf
Au 196.97 Au.upf
N 14.01 N.upf
O 16.00 O.upf
ATOMIC_POSITIONS angstrom
Sb 1.231 3.693 0.000
Sb 3.693 1.231 0.000
Au 1.231 1.231 2.262
Au 3.693 3.693 2.318
N 1.231 1.231 4.550
N 3.693 3.693 0.030
O 1.231 3.693 2.290
O 3.693 1.231 2.290
CELL_PARAMETERS angstrom
4.924 0.000 0.000
0.000 4.924 0.000
0.000 0.000 4.580
```

two.
Material: SbAuNO
Method: DFT, PBE
State: optimized geometry Values from VASP.

Summary:
Calculated volume = 117 Å³/cell

```
&SYSTEM
  ibrav = 0, nat = 8, ntyp = 4
/
ATOMIC_SPECIES
Sb 121.76 Sb.upf
Au 196.97 Au.upf
N 14.01 N.upf
O 16.00 O.upf
ATOMIC_POSITIONS angstrom
Sb 0.963 0.963 1.199
Sb 2.890 2.890 6.655
Au 0.963 2.890 3.927
Au 2.890 0.963 3.927
N 0.963 0.963 5.346
N 2.890 2.890 2.509
O 0.963 2.890 0.000
O 2.890 0.963 0.000
CELL_PARAMETERS angstrom
3.853 0.000 0.000
0.000 3.853 0.000
0.000 0.000 7.855
```

What should be chosen as the most stable of them? Choose one.

one.
Material: SbAuNO
Method: DFT, PBE
State: optimized geometry Values from VASP.

Summary:
Calculated volume = 129 Å³/cell

```
&SYSTEM
  ibrav = 0, nat = 8, ntyp = 4
/
ATOMIC_SPECIES
Sb 121.76 Sb.upf
Au 196.97 Au.upf
N 14.01 N.upf
O 16.00 O.upf
ATOMIC_POSITIONS angstrom
Sb 0.000 1.177 0.000
Sb 0.000 4.790 2.794
Au 1.936 1.444 2.787
Au 1.936 4.524 5.581
N 0.000 0.812 2.090
N 0.000 5.156 4.884
O 1.936 1.876 5.345
O 1.936 4.092 2.551
CELL_PARAMETERS angstrom
3.873 0.000 0.000
0.000 5.967 0.000
0.000 0.000 5.587
```

two.
Material: SbAuNO
Method: DFT, PBE
State: optimized geometry Values from VASP.

Summary:
Calculated volume = 267 Å³/cell

```
&SYSTEM
  ibrav = 0, nat = 16, ntyp = 4
/
ATOMIC_SPECIES
Sb 121.76 Sb.upf
Au 196.97 Au.upf
N 14.01 N.upf
O 16.00 O.upf
ATOMIC_POSITIONS angstrom
Sb 0.380 1.240 0.000
Sb 2.930 1.240 2.612
Sb 3.689 6.489 0.000
Sb 6.239 6.489 2.612
Au 0.496 4.267 0.197
Au 2.813 4.267 2.808
Au 3.806 3.462 0.197
Au 6.123 3.462 2.808
N 0.947 5.013 3.416
N 2.362 5.013 0.805
N 4.257 2.716 3.416
N 5.672 2.716 0.805
O 0.748 0.172 1.716
O 2.561 0.172 4.328
O 4.058 7.556 1.716
O 5.871 7.556 4.328
CELL_PARAMETERS angstrom
6.619 0.000 0.000
0.000 7.729 0.000
0.000 0.000 5.223
```

What should be chosen as the most stable of them? Choose two.